{
  "formula": "PmTl2Bi",
  "functional": "PBE-GGA",
  "state": "relaxed",
  "space_group": "P4/mmm (123)",
  "de_polymorph_ev_per_atom": 0.000,
  "formation_enthalpy_0k_kj_per_mol_atoms": -36.6,
  "density_g_cm3": 10.833,
  "magnetic_moment_mub_per_cell": 0.00,
  "lattice": [[-0.678, -4.713, -1.102], [1.185, 0.918, -4.656], [4.696, -0.913, 1.015]],
  "species": ["Tl", "Tl", "Bi", "Pm"],
  "frac_coords": [[0.000, 0.000, 0.500], [0.000, 0.500, 0.000], [0.500, 0.000, 0.000], [0.500, 0.500, 0.500]]
}